Record 1
A relaxed structure of UAlAs. Source: Alexandria via LeMat-Bulk, functional PBE-GGA.

The raw total energy is -6.480 eV per atom.

The structure belongs to space group I4/mmm (No. 139); the cell edges are 3.308, 3.308 and 23.931 Å and the angles 90.00°, 90.00° and 90.00°. The asymmetric unit holds U at (0.000, 0.000, 0.146), Al at (0.000, 0.000, 0.445) and As at (0.000, 0.000, 0.283).

Record 2
A relaxed structure of AlV3As. Source: Alexandria via LeMat-Bulk, functional PBE-GGA.

The raw total energy is -6.574 eV per atom. For the energy above the most stable polymorph in this dataset, the calculation gives 0.000 eV per atom.

The structure belongs to space group Pm-3m (No. 221); the cell edges are 4.513, 4.513 and 4.513 Å and the angles 90.00°, 90.00° and 90.00°. The asymmetric unit holds Al at (0.000, 0.000, 0.000), V at (0.000, 0.500, 0.500) and As at (0.500, 0.500, 0.500).

Record 3
A relaxed structure of AlVAs2. Source: Alexandria via LeMat-Bulk, functional PBE-GGA.

The raw total energy is -5.094 eV per atom.

The structure belongs to space group R-3m (No. 166, hexagonal axes); the cell edges are 2.8204, 2.8204 and 30.8919 Å and the angles 90.00°, 90.00° and 120.00°. The asymmetric unit holds Al at (0.0000, 0.0000, 0.0000), V at (0.0000, 0.0000, 0.5000) and As at (0.0000, 0.0000, 0.4178).

Record 4
A relaxed structure of AlVAs. Source: Alexandria via LeMat-Bulk, functional PBE-GGA.

The raw total energy is -5.818 eV per atom. For the energy above the most stable polymorph in this dataset, the calculation gives 0.000 eV per atom.

The structure belongs to space group C2/m (No. 12); the cell edges are 7.555, 4.425 and 6.840 Å and the angles 90.00°, 117.38° and 90.00°. The asymmetric unit holds Al at (0.052, 0.000, 0.217), V at (0.160, 0.500, 0.918) and As at (0.244, 0.500, 0.322).

Record 5
A relaxed structure of Al3VAs. Source: Alexandria via LeMat-Bulk, functional PBE-GGA.

The raw total energy is -4.132 eV per atom.

The structure belongs to space group Pm-3m (No. 221); the cell edges are 4.793, 4.793 and 4.793 Å and the angles 90.00°, 90.00° and 90.00°. The asymmetric unit holds Al at (0.000, 0.000, 0.500), V at (0.000, 0.000, 0.000) and As at (0.500, 0.500, 0.500).

Record 6
A relaxed structure of AlVAs2. Source: Alexandria via LeMat-Bulk, functional PBE-GGA.

The raw total energy is -5.644 eV per atom.

The structure belongs to space group I-42d (No. 122); the cell edges are 5.731, 5.731 and 11.502 Å and the angles 90.00°, 90.00° and 90.00°. The asymmetric unit holds Al at (0.000, 0.000, 0.000), V at (0.000, 0.000, 0.500) and As at (0.247, 0.250, 0.625).

Record 7
A relaxed structure of AlVAs3. Source: Alexandria via LeMat-Bulk, functional PBE-GGA.

The raw total energy is -5.075 eV per atom.

The structure belongs to space group Pm-3m (No. 221); the cell edges are 4.760, 4.760 and 4.760 Å and the angles 90.00°, 90.00° and 90.00°. The asymmetric unit holds Al at (0.000, 0.000, 0.000), V at (0.500, 0.500, 0.500) and As at (0.000, 0.500, 0.500).

Record 8
A relaxed structure of Al2VAs. Source: Alexandria via LeMat-Bulk, functional PBE-GGA.

The raw total energy is -5.089 eV per atom.

The structure belongs to space group I-42d (No. 122); the cell edges are 7.401, 7.401 and 5.314 Å and the angles 90.00°, 90.00° and 90.00°. The asymmetric unit holds Al at (0.220, 0.250, 0.125), V at (0.000, 0.000, 0.500) and As at (0.000, 0.000, 0.000).

Record 9
A relaxed structure of Al2VAs. Source: Alexandria via LeMat-Bulk, functional PBE-GGA.

The raw total energy is -5.305 eV per atom.

The structure belongs to space group P4/mmm (No. 123); the cell edges are 4.233, 4.233 and 3.509 Å and the angles 90.00°, 90.00° and 90.00°. The asymmetric unit holds Al at (0.000, 0.500, 0.000), V at (0.000, 0.000, 0.500) and As at (0.500, 0.500, 0.500).

Record 10
A relaxed structure of AlVAs. Source: Alexandria via LeMat-Bulk, functional PBE-GGA.

The raw total energy is -5.798 eV per atom. For the energy above the most stable polymorph in this dataset, the calculation gives 0.020 eV per atom.

The structure belongs to space group P-6m2 (No. 187); the cell edges are 4.3989, 4.3989 and 2.7647 Å and the angles 90.00°, 90.00° and 120.00°. The asymmetric unit holds Al at (0.0000, 0.0000, 0.0000), V at (0.6667, 0.3333, 0.5000) and As at (0.3333, 0.6667, 0.5000).

Record 11
A relaxed structure of Al2V2As. Source: Alexandria via LeMat-Bulk, functional PBE-GGA.

The raw total energy is -6.275 eV per atom.

The structure belongs to space group P4/mbm (No. 127); the cell edges are 6.254, 6.254 and 3.993 Å and the angles 90.00°, 90.00° and 90.00°. The asymmetric unit holds Al at (0.153, 0.347, 0.000), V at (0.142, 0.642, 0.500) and As at (0.000, 0.000, 0.500).

Record 12
A relaxed structure of Y2AlVAs. Source: Alexandria via LeMat-Bulk, functional PBE-GGA.

The raw total energy is -6.194 eV per atom.

The structure belongs to space group P4/mmm (No. 123); the cell edges are 5.352, 5.352 and 4.601 Å and the angles 90.00°, 90.00° and 90.00°. The asymmetric unit holds Y at (0.000, 0.500, 0.000), Al at (0.000, 0.000, 0.500), V at (0.500, 0.500, 0.500) and As at (0.500, 0.500, 0.000).

Record 13
A relaxed structure of AlAs3W. Source: Alexandria via LeMat-Bulk, functional PBE-GGA.

The raw total energy is -5.552 eV per atom. For the energy above the most stable polymorph in this dataset, the calculation gives 0.000 eV per atom.

The structure belongs to space group Pm-3m (No. 221); the cell edges are 4.923, 4.923 and 4.923 Å and the angles 90.00°, 90.00° and 90.00°. The asymmetric unit holds Al at (0.000, 0.000, 0.000), As at (0.000, 0.500, 0.500) and W at (0.500, 0.500, 0.500).

Record 14
A relaxed structure of AlAsW2. Source: Alexandria via LeMat-Bulk, functional PBE-GGA.

The raw total energy is -8.432 eV per atom. For the energy above the most stable polymorph in this dataset, the calculation gives 0.180 eV per atom.

The structure belongs to space group R3m (No. 160, hexagonal axes); the cell edges are 3.0267, 3.0267 and 25.2417 Å and the angles 90.00°, 90.00° and 120.00°. The asymmetric unit holds Al at (0.0000, 0.0000, 0.0000), As at (0.0000, 0.0000, 0.7599), W at (0.0000, 0.0000, 0.2516) and W at (0.0000, 0.0000, 0.5027).

Record 15
A relaxed structure of Al2AsW. Source: Alexandria via LeMat-Bulk, functional PBE-GGA.

The raw total energy is -6.170 eV per atom.

The structure belongs to space group Cmmm (No. 65); the cell edges are 5.911, 7.874 and 2.759 Å and the angles 90.00°, 90.00° and 90.00°. The asymmetric unit holds Al at (0.250, 0.250, 0.000), As at (0.000, 0.000, 0.500) and W at (0.000, 0.500, 0.500).

Record 16
A relaxed structure of AlAsW2. Source: Alexandria via LeMat-Bulk, functional PBE-GGA.

The raw total energy is -8.127 eV per atom. For the energy above the most stable polymorph in this dataset, the calculation gives 0.485 eV per atom.

The structure belongs to space group I-42d (No. 122); the cell edges are 3.820, 3.820 and 18.650 Å and the angles 90.00°, 90.00° and 90.00°. The asymmetric unit holds Al at (0.000, 0.000, 0.000), As at (0.000, 0.000, 0.500) and W at (0.248, 0.250, 0.125).

Record 17
A relaxed structure of Al2AsW. Source: Alexandria via LeMat-Bulk, functional PBE-GGA.

The raw total energy is -6.260 eV per atom.

The structure belongs to space group P4/mmm (No. 123); the cell edges are 3.422, 3.422 and 5.308 Å and the angles 90.00°, 90.00° and 90.00°. The asymmetric unit holds Al at (0.000, 0.000, 0.243), As at (0.500, 0.500, 0.500) and W at (0.500, 0.500, 0.000).

Record 18
A relaxed structure of AlAsW. Source: Alexandria via LeMat-Bulk, functional PBE-GGA.

The raw total energy is -6.548 eV per atom. For the energy above the most stable polymorph in this dataset, the calculation gives 0.683 eV per atom.

The structure belongs to space group F-43m (No. 216); the cell edges are 5.984, 5.984 and 5.984 Å and the angles 90.00°, 90.00° and 90.00°. The asymmetric unit holds Al at (0.000, 0.000, 0.000), As at (0.250, 0.250, 0.750) and W at (0.000, 0.000, 0.500).

Record 19
A relaxed structure of AlAsW2. Source: Alexandria via LeMat-Bulk, functional PBE-GGA.

The raw total energy is -8.305 eV per atom. For the energy above the most stable polymorph in this dataset, the calculation gives 0.307 eV per atom.

The structure belongs to space group R-3m (No. 166, hexagonal axes); the cell edges are 2.9447, 2.9447 and 25.4164 Å and the angles 90.00°, 90.00° and 120.00°. The asymmetric unit holds Al at (0.0000, 0.0000, 0.0000), As at (0.0000, 0.0000, 0.5000) and W at (0.0000, 0.0000, 0.2455).

Record 20
A relaxed structure of Al2AsW. Source: Alexandria via LeMat-Bulk, functional PBE-GGA.

The raw total energy is -5.731 eV per atom.

The structure belongs to space group I-42d (No. 122); the cell edges are 7.219, 7.219 and 5.303 Å and the angles 90.00°, 90.00° and 90.00°. The asymmetric unit holds Al at (0.236, 0.250, 0.125), As at (0.000, 0.000, 0.000) and W at (0.000, 0.000, 0.500).

Number 1: total magnetization 0.66 μB per atom, V 21.8 Å³ per atom, ΔH_f (0 K) 0.24 eV/f.u.. Number 2: total magnetization 0.76 μB per atom, V 18.4 Å³ per atom, ΔH_f (0 K) 2.88 eV/f.u.. Number 3: total magnetization 0.16 μB per atom, V 17.7 Å³ per atom, ΔH_f (0 K) 1.78 eV/f.u.. Number 4: total magnetization 0.00 μB per atom, V 16.9 Å³ per atom, ΔH_f (0 K) 0.06 eV/f.u.. Number 5: total magnetization 0.00 μB per atom, V 22.0 Å³ per atom, ΔH_f (0 K) 4.34 eV/f.u.. Number 6: total magnetization 0.50 μB per atom, V 23.6 Å³ per atom, ΔH_f (0 K) -0.42 eV/f.u.. Number 7: total magnetization 0.00 μB per atom, V 21.6 Å³ per atom, ΔH_f (0 K) 1.44 eV/f.u.. Number 8: total magnetization 0.71 μB per atom, V 18.2 Å³ per atom, ΔH_f (0 K) 0.90 eV/f.u.. Number 9: total magnetization 0.41 μB per atom, V 15.7 Å³ per atom, ΔH_f (0 K) 0.04 eV/f.u.. Number 10: total magnetization 0.00 μB per atom, V 15.4 Å³ per atom, ΔH_f (0 K) 0.12 eV/f.u.. Number 11: total magnetization 0.00 μB per atom, V 15.6 Å³ per atom, ΔH_f (0 K) -1.00 eV/f.u.. Number 12: total magnetization 0.34 μB per atom, V 26.4 Å³ per atom, ΔH_f (0 K) -0.53 eV/f.u.. Number 13: total magnetization 0.00 μB per atom, V 23.9 Å³ per atom, ΔH_f (0 K) 2.88 eV/f.u.. Number 14: total magnetization 0.00 μB per atom, V 16.7 Å³ per atom, ΔH_f (0 K) 0.57 eV/f.u.. Number 15: total magnetization 0.00 μB per atom, V 16.0 Å³ per atom, ΔH_f (0 K) 0.41 eV/f.u.. Number 16: total magnetization 0.00 μB per atom, V 17.0 Å³ per atom, ΔH_f (0 K) 1.79 eV/f.u.. Number 17: total magnetization 0.00 μB per atom, V 15.5 Å³ per atom, ΔH_f (0 K) 0.05 eV/f.u.. Number 18: total magnetization 0.00 μB per atom, V 17.9 Å³ per atom, ΔH_f (0 K) 1.70 eV/f.u.. Number 19: total magnetization 0.00 μB per atom, V 15.9 Å³ per atom, ΔH_f (0 K) 1.08 eV/f.u.. Number 20: total magnetization 0.00 μB per atom, V 17.3 Å³ per atom, ΔH_f (0 K) 2.16 eV/f.u..